# PBE CsLu, optimized geometry
# Calculated density ... 3.1 g/cm³
# E_tot ... -1.80 eV per formula unit
# Spin magnetization ... 1.98 μB/f.u.
data_CsLu
_chemical_formula_sum 'Cs4 Lu4'
_cell_length_a 8.698
_cell_length_b 8.698
_cell_length_c 8.698
_cell_angle_alpha 90.00
_cell_angle_beta 90.00
_cell_angle_gamma 90.00
_space_group_name_H-M_alt 'F -4 3 m'
_space_group_IT_number 216
_space_group_name_Hall 'F -4 2 3'
loop_
_atom_site_label
_atom_site_type_symbol
_atom_site_fract_x
_atom_site_fract_y
_atom_site_fract_z
_atom_site_occupancy
Cs1 Cs 0.000 0.000 0.000 1
Lu1 Lu 0.250 0.250 0.750 1